1.
Entry from Alexandria: a relaxed FeRe2Te2 crystal (PBE).

abc: 6.740 6.740 4.125
angles: 90.00 90.00 90.00
Each line ends with the local moment (μB).
Sites, in units of the cell vectors:
Fe1 0.000 0.000 0.000  2.59
Fe2 0.500 0.500 0.000  2.59
Re1 0.368 0.868 0.000  -0.18
Re2 0.632 0.132 0.000  -0.18
Re3 0.868 0.632 0.000  -0.18
Re4 0.132 0.368 0.000  -0.18
Te1 0.826 0.326 0.500  -0.01
Te2 0.674 0.826 0.500  -0.01
Te3 0.326 0.174 0.500  -0.01
Te4 0.174 0.674 0.500  -0.01

Summary:
Formation energy (no corrections)   77 kJ/mol of atoms
Excess energy over the best structure of this formula in the dataset   0 meV/atom
Space-group type   P4/mbm

---

2.
Entry from Alexandria: a relaxed Fe3ReTe crystal (PBE).

abc: 4.586 4.586 4.586
angles: 90.00 90.00 90.00
Each line ends with the local moment (μB).
Sites, in units of the cell vectors:
Fe1 0.500 0.000 0.000  1.88
Fe2 0.000 0.000 0.500  2.35
Fe3 0.000 0.500 0.000  2.24
Te1 0.500 0.500 0.500  0.03
Re1 0.000 0.000 0.000  -0.39

Summary:
Formation energy (no corrections)   132 kJ/mol of atoms
Excess energy over the best structure of this formula in the dataset   0 meV/atom
Space-group type   Pm-3m

---

3.
Entry from Alexandria: a relaxed FeRe3Te crystal (PBE).

abc: 4.495 4.495 4.495
angles: 90.00 90.00 90.00
Sites, in units of the cell vectors:
Re1 0.000 0.500 0.000
Re2 0.500 0.000 0.000
Re3 0.000 0.000 0.500
Te1 0.500 0.500 0.500
Fe1 0.000 0.000 0.000

Summary:
Formation energy (no corrections)   155 kJ/mol of atoms
Excess energy over the best structure of this formula in the dataset   0 meV/atom
Space-group type   Pm-3m

---

4.
Entry from Alexandria: a relaxed Fe2ReTe2 crystal (PBE).

abc: 6.761 6.761 3.510
angles: 90.00 90.00 90.00
Sites, in units of the cell vectors:
Fe1 0.122 0.378 0.000
Fe2 0.622 0.122 0.000
Fe3 0.878 0.622 0.000
Fe4 0.378 0.878 0.000
Re1 0.000 0.000 0.000
Re2 0.500 0.500 0.000
Te1 0.820 0.320 0.500
Te2 0.680 0.820 0.500
Te3 0.320 0.180 0.500
Te4 0.180 0.680 0.500

Summary:
Formation energy (no corrections)   71 kJ/mol of atoms
Excess energy over the best structure of this formula in the dataset   0 meV/atom
Space-group type   P4/mbm

---

5.
Entry from Alexandria: a relaxed FeReTe crystal (PBE).

abc: 5.066 5.066 5.066
angles: 142.09 142.08 54.70
Each line ends with the local moment (μB).
Sites, in units of the cell vectors:
Fe1 0.994 0.994 0.000  2.64
Re1 0.340 0.340 0.000  0.18
Te1 0.666 0.666 0.000  -0.01

Summary:
Formation energy (no corrections)   62 kJ/mol of atoms
Excess energy over the best structure of this formula in the dataset   118 meV/atom
Space-group type   I4mm

---

6.
Entry from Alexandria: a relaxed FeReTe4 crystal (PBE).

abc: 6.213 6.213 6.213
angles: 60.00 60.00 60.00
Each line ends with the local moment (μB).
Sites, in units of the cell vectors:
Te1 0.375 0.876 0.375  -0.02
Te2 0.375 0.375 0.375  -0.02
Te3 0.375 0.375 0.876  -0.02
Te4 0.876 0.375 0.375  -0.02
Re1 0.000 0.000 0.000  -3.57
Fe1 0.750 0.750 0.750  3.35

Summary:
Formation energy (no corrections)   162 kJ/mol of atoms
Space-group type   F-43m

---

7.
Entry from Alexandria: a relaxed Fe2ReTe2 crystal (PBE).

abc: 4.951 4.951 5.132
angles: 61.16 61.16 90.00
Each line ends with the local moment (μB).
Sites, in units of the cell vectors:
Re1 0.000 0.000 0.000  1.33
Te1 0.250 0.750 0.500  -0.05
Te2 0.750 0.250 0.500  -0.05
Fe1 0.644 0.644 0.712  2.10
Fe2 0.356 0.356 0.288  2.10

Summary:
Formation energy (no corrections)   96 kJ/mol of atoms
Excess energy over the best structure of this formula in the dataset   261 meV/atom
Space-group type   I4/mmm

---

8.
Entry from Alexandria: a relaxed FeReTe crystal (PBE).

abc: 3.111 3.111 6.120
angles: 90.00 90.00 120.00
Each line ends with the local moment (μB).
Sites, in units of the cell vectors:
Re1 0.667 0.333 0.310  0.07
Te1 0.333 0.667 0.669  0.01
Fe1 0.000 0.000 0.022  2.41

Summary:
Formation energy (no corrections)   64 kJ/mol of atoms
Excess energy over the best structure of this formula in the dataset   139 meV/atom
Space-group type   P3m1